No. 1
Here is a relaxed DyGeHRu crystal from Alexandria via LeMat-Bulk. Energies are from GGA-PBE.

```
DyGeHRu
1.0
4.1070 0.0000 0.0000
0.0000 4.1070 0.0000
0.0000 0.0000 7.2261
Dy Ge H Ru
2 2 2 2
Direct
0.5000 0.0000 0.6591
0.0000 0.5000 0.3409
0.0000 0.5000 0.8109
0.5000 0.0000 0.1891
0.0000 0.0000 0.5000
0.5000 0.5000 0.5000
0.5000 0.5000 0.0000
0.0000 0.0000 0.0000
```

Output
* magnetization: 0.00 Bohr magnetons per cell
* final energy: -6.131 eV per atom
* volume: 60.9 Å³/f.u.
* space group: P4/nmm
* N(E_F): 3.55 states/eV per cell

---

No. 2
Here is a relaxed Ac7Pm4Y crystal from Alexandria via LeMat-Bulk. Energies are from GGA-PBE.

```
Ac7Pm4Y
1.0
-7.1359 -2.4925 -1.5328
-5.0898 -8.8486 -0.7895
-1.4771 -1.7183 9.3420
Ac Pm Y
7 4 1
Direct
0.7479 0.5037 0.0052
0.2521 0.4963 0.9948
0.9728 0.2819 0.6634
0.0272 0.7181 0.3366
0.2198 0.7801 0.6680
0.5000 0.0000 0.0000
0.7802 0.2199 0.3320
0.5255 0.7263 0.3311
0.4745 0.2737 0.6689
0.7190 0.7805 0.6650
0.2810 0.2195 0.3350
0.0000 0.0000 0.0000
```

Output
* energy relative to the elements: 0.04 eV per atom
* magnetization: 0.00 Bohr magnetons per cell
* volume: 484.8 Å³/f.u.
* space group: P-1
* N(E_F): 19.45 states/eV per cell

---

- N(E_F) of number 1 (DyGeHRu)?
  3.55 states/eV per cell